# 1
# PrScAg

Crystalline PrScAg at its relaxed geometry (GGA-PBE, Alexandria).

Unit cell a=3.5378 b=3.5378 c=6.7057 alpha=105.30 beta=105.30 gamma=90.00
Fractional positions:
Sc 0.3064 0.3064 0.6129
Pr 0.0064 0.0064 0.0128
Ag 0.6872 0.6872 0.3743

Calculated values
Magnetic moment, μB/f.u.: 0.001
D(E_F), states/eV/cell: 4.03
Total DFT energy (no corrections), eV per atom: -4.787
Offset from the most stable computed form, kJ/mol of formula units: 7
Formation energy from the elements, eV/atom: -0.1330

***

# 2
# PuNpAsP

Crystalline PuNpAsP at its relaxed geometry (GGA-PBE, Alexandria).

Unit cell a=4.0587 b=4.0587 c=5.7433 alpha=90.00 beta=90.00 gamma=90.00
Last column: magnetic moment on the atom in μB.
Fractional positions:
P 0.5000 0.5000 0.0000  -0.14
Pu 0.5000 0.5000 0.5000  5.01
Np 0.0000 0.0000 0.0000  3.65
As 0.0000 0.0000 0.5000  -0.14

Calculated values
Magnetic moment, μB/f.u.: 8.882
D(E_F), states/eV/cell: 16.73
Total DFT energy (no corrections), eV per atom: -10.249
Formation energy from the elements, eV/atom: -0.9161

***

# 3
# CoTcSb2

Crystalline CoTcSb2 at its relaxed geometry (GGA-PBE, Alexandria).

Unit cell a=3.5549 b=3.5549 c=5.6011 alpha=90.00 beta=90.00 gamma=90.00
Fractional positions:
Sb 0.5000 0.5000 0.2864
Sb 0.0000 0.0000 0.9348
Co 0.5000 0.5000 0.8164
Tc 0.0000 0.0000 0.4624

Calculated values
Formation energy without anion corrections, kJ per mole of atoms: 20
Magnetic moment, μB/f.u.: 0.000
D(E_F), states/eV/cell: 2.95
Total DFT energy (no corrections), eV per atom: -6.226
Offset from the most stable computed form, kJ/mol of formula units: 38

***

# 4
# MnHg2P

Crystalline MnHg2P at its relaxed geometry (GGA-PBE, Alexandria).

Unit cell a=5.2115 b=5.2115 c=5.2115 alpha=131.78 beta=131.78 gamma=70.57
Last column: magnetic moment on the atom in μB.
Fractional positions:
Hg 0.0000 0.0000 0.0000  -0.05
Hg 0.2500 0.7500 0.5000  -0.04
P 0.7500 0.2500 0.5000  -0.07
Mn 0.5000 0.5000 0.0000  3.88

Calculated values
Magnetic moment, μB/f.u.: 3.848
D(E_F), states/eV/cell: 3.09
Total DFT energy (no corrections), eV per atom: -3.332
Formation energy from the elements, eV/atom: 0.4634